No. 1
A relaxed K2Rb2Sn15 crystal, computed with GGA-PBE.

Cell: 8.522 8.522 8.522 Å, 82.27 82.27 82.27°
Fractional coordinates of all 19 atoms:
K  0.101  0.101  0.101
K  0.899  0.899  0.899
Rb  0.348  0.348  0.348
Rb  0.652  0.652  0.652
Sn  0.000  0.000  0.500
Sn  0.000  0.296  0.704
Sn  0.000  0.500  0.000
Sn  0.000  0.704  0.296
Sn  0.152  0.642  0.642
Sn  0.296  0.000  0.704
Sn  0.296  0.704  0.000
Sn  0.358  0.358  0.848
Sn  0.358  0.848  0.358
Sn  0.500  0.000  0.000
Sn  0.642  0.152  0.642
Sn  0.642  0.642  0.152
Sn  0.704  0.000  0.296
Sn  0.704  0.296  0.000
Sn  0.848  0.358  0.358

Output
The density of states at the Fermi level comes out at 0.55 states/eV per atom. As for the energy of formation from the pure elements: -0.0604 eV/atom. The calculation puts the calculated density at 5586 kg/m3. For the calculated volume, the calculation gives 31.8 A^3/atom.



No. 2
A relaxed Cs2FePtCl6 crystal, computed with GGA-PBE.

Cell: 7.186 7.186 7.186 Å, 119.93 119.93 90.11°
Fractional coordinates of all 10 atoms:
Cs  0.250  0.750  0.500
Cs  0.750  0.250  0.500
Fe  0.000  0.000  0.000
Pt  0.500  0.500  0.000
Cl  0.237  0.237  0.475
Cl  0.237  0.763  0.000
Cl  0.259  0.259  0.000
Cl  0.741  0.741  0.000
Cl  0.763  0.237  0.000
Cl  0.763  0.763  0.525

Output
The density of states at the Fermi level comes out at 0.20 states/eV per atom. The calculation puts the calculated density at 4613 kg/m3. For the calculated volume, the calculation gives 26.3 A^3/atom. The calculation puts the total energy at -0.139 Ha/atom.



No. 3
A relaxed In16Hg12Sb crystal, computed with GGA-PBE.

Cell: 9.817 9.817 9.791 Å, 107.63 107.63 106.26°
Fractional coordinates of all 29 atoms:
In  0.000  0.000  0.000
In  0.001  0.381  0.677
In  0.004  0.751  0.437
In  0.057  0.057  0.709
In  0.283  0.611  0.600
In  0.318  0.717  0.306
In  0.337  0.337  0.345
In  0.381  0.001  0.677
In  0.411  0.643  0.986
In  0.600  0.600  0.301
In  0.611  0.283  0.600
In  0.636  0.984  0.991
In  0.643  0.411  0.986
In  0.717  0.318  0.306
In  0.751  0.004  0.437
In  0.984  0.636  0.991
Hg  0.177  0.377  0.017
Hg  0.189  0.987  0.329
Hg  0.196  0.806  0.853
Hg  0.377  0.177  0.017
Hg  0.450  0.993  0.222
Hg  0.623  0.839  0.619
Hg  0.636  0.636  0.798
Hg  0.801  0.801  0.168
Hg  0.806  0.196  0.853
Hg  0.839  0.623  0.619
Hg  0.987  0.189  0.329
Hg  0.993  0.450  0.222
Sb  0.312  0.312  0.679

Output
The density of states at the Fermi level comes out at 0.31 states/eV per atom. The calculation puts the calculated density at 9271 kg/m3. For the calculated volume, the calculation gives 27.0 A^3/atom. The calculation puts the total energy at -0.064 Ha/atom.